Compound: TlZnCd2
Source: Alexandria via LeMat-Bulk
Functional: PBE-GGA
Structure: optimized geometry Values from VASP.

Computed properties:
The crystal system is orthorhombic. The value obtained for the total energy is -5.05 eV for the cell shown. The value obtained for the polymorph energy (0 for the lowest one) is 31 meV per atom.

```
&SYSTEM
  ibrav = 0, nat = 4, ntyp = 3
/
ATOMIC_SPECIES
Tl 204.38 Tl.upf
Zn 65.41 Zn.upf
Cd 112.41 Cd.upf
ATOMIC_POSITIONS crystal
Tl 0.0000 0.0000 0.0000
Zn 0.5000 0.5000 0.2687
Cd 0.0000 0.0000 0.4597
Cd 0.5000 0.5000 0.7052
CELL_PARAMETERS angstrom
3.1769 0.0000 0.0000
0.0000 4.0921 0.0000
0.0000 0.0000 7.2826
```